The following is a GGA-PBE calculation of TlZnRe after structural relaxation, from Alexandria via LeMat-Bulk.

Cell and atoms, written as POSCAR:
```
TlZnRe
1.0
2.793 0.000 0.000
0.000 4.142 0.000
0.000 0.000 9.635
Tl Zn Re
2 2 2
Direct
0.000 0.000 0.000
0.500 0.500 0.500
0.000 0.000 0.708
0.500 0.500 0.208
0.000 0.000 0.303
0.500 0.500 0.803
```

Output
- Energy above the most stable polymorph in this dataset: 44 meV per atom
- Crystal system: orthorhombic
- M_tot: 0.000 μB/atom
- DFT formation energy: 2.32 eV per formula unit